ScH | PBE | relaxed

Unit cell a=3.3405 b=9.8811 c=4.7998 alpha=90.00 beta=90.00 gamma=90.00
With the nearest neighbours (Å) after each atom.
Fractional coordinates of all 12 atoms:
1 Sc 0.2500 0.0893 0.2361  4 H 2.02-2.05
2 Sc 0.2500 0.4107 0.2361  4 H 2.02-2.05
3 Sc 0.2500 0.7500 0.2506  4 H 2.04-2.05
4 Sc 0.7500 0.2500 0.7494  4 H 2.04-2.05
5 Sc 0.7500 0.5893 0.7639  4 H 2.02-2.05
6 Sc 0.7500 0.9107 0.7639  4 H 2.02-2.05
7 H 0.2500 0.2500 0.5006  4 Sc 2.03-2.05
8 H 0.2500 0.5833 0.0009  4 Sc 2.02-2.05
9 H 0.2500 0.9167 0.0009  4 Sc 2.02-2.05
10 H 0.7500 0.0833 0.9991  4 Sc 2.02-2.05
11 H 0.7500 0.4167 0.9991  4 Sc 2.02-2.05
12 H 0.7500 0.7500 0.4994  4 Sc 2.03-2.05

M_tot: 0.00 μB per atom
Total energy: -5.31 eV per atom
Density: 2.89 g cm⁻³